DFT (GGA-PBE) results for a relaxed CsTi2Tc2 crystal.

- Fermi-level density of states: 1.097 states/eV per atom
- E above lowest polymorph: 48 meV per atom
- V: 131 Å³ per cell
- Energy of formation: 652 meV per atom
- Symmetry: I4/mmm (139)
- Total magnetic moment: 0.000 μB/cell

Lattice parameters (Å, degrees): 4.0884 4.0884 8.3429 75.82 75.82 90.00
With the nearest neighbours (Å) after each atom.
Fractional positions:
Cs 0.0000 0.0000 0.0000  8 Ti 3.82, 4 Cs 4.09
Tc 0.7500 0.2500 0.5000  4 Ti 2.49
Tc 0.2500 0.7500 0.5000  4 Ti 2.49
Ti 0.3409 0.3409 0.3183  4 Tc 2.49
Ti 0.6591 0.6591 0.6817  4 Tc 2.49

***

DFT (GGA-PBE) results for a relaxed K2PmF4 crystal.

- Uncorrected formation energy: -2.99 eV/atom
- Fermi-level density of states: 0.204 states/eV per atom
- V: 167 Å³ per cell
- Symmetry: I4/mmm (139)
- Total magnetic moment: 0.000 μB/cell

Lattice parameters (Å, degrees): 4.6470 4.6470 8.3976 73.94 73.94 90.00
With the nearest neighbours (Å) after each atom.
Fractional positions:
K 0.6759 0.6759 0.6481  1 F 2.76
K 0.3241 0.3241 0.3519  1 F 2.76
F 0.8545 0.8545 0.2910  1 Pm 2.25
F 0.1455 0.1455 0.7090  1 Pm 2.25
F 0.0000 0.5000 0.0000  2 Pm 2.32
F 0.5000 0.0000 0.0000  2 Pm 2.32
Pm 0.0000 0.0000 0.0000  6 F 2.25-2.32

***

DFT (GGA-PBE) results for a relaxed PmDy2YHo5 crystal.

- Fermi-level density of states: 1.299 states/eV per atom
- V: 583 Å³ per cell
- Energy of formation: 292 meV per atom
- Symmetry: I4/mcm (140)
- Total magnetic moment: 0.000 μB/cell

Lattice parameters (Å, degrees): 8.9337 8.9337 9.6596 117.54 117.54 90.00
With the nearest neighbours (Å) after each atom.
Fractional positions:
Pm 0.2500 0.2500 0.5000  10 Ho 3.64-3.65
Pm 0.7500 0.7500 0.5000  10 Ho 3.64-3.65
Dy 0.1122 0.3878 0.0000  1 Dy 2.84, 2 Ho 3.00
Dy 0.6122 0.1122 0.0000  1 Dy 2.84, 2 Ho 3.00
Dy 0.3878 0.8878 0.0000  1 Dy 2.84, 2 Ho 3.00
Dy 0.8878 0.6122 0.0000  1 Dy 2.84, 2 Ho 3.00
Y 0.2500 0.7500 0.5000  4 Ho 3.12
Y 0.7500 0.2500 0.5000  4 Ho 3.12
Ho 0.9259 0.4259 0.2633  1 Dy 3.00, 1 Y 3.12
Ho 0.6626 0.1626 0.7367  1 Dy 3.00, 1 Y 3.12
Ho 0.0741 0.5741 0.7367  1 Dy 3.00, 1 Y 3.12
Ho 0.1626 0.0741 0.7367  1 Dy 3.00, 1 Y 3.12
Ho 0.5741 0.6626 0.7367  1 Dy 3.00, 1 Y 3.12
Ho 0.8374 0.9259 0.2633  1 Dy 3.00, 1 Y 3.12
Ho 0.4259 0.3374 0.2633  1 Dy 3.00, 1 Y 3.12
Ho 0.3374 0.8374 0.2633  1 Dy 3.00, 1 Y 3.12
Ho 0.5000 0.5000 0.0000  4 Dy 3.61, 2 Pm 3.65, 8 Ho 3.74
Ho 0.0000 0.0000 0.0000  4 Dy 3.61, 2 Pm 3.65, 8 Ho 3.74

***

DFT (GGA-PBE) results for a relaxed Ba2ScTaSe6 crystal.

- Uncorrected formation energy: -1.46 eV/atom
- Fermi-level density of states: 0.067 states/eV per atom
- V: 567 Å³ per cell
- Symmetry: R-3m (166)
- Total magnetic moment: 0.000 μB/cell

Lattice parameters (Å, degrees): 7.2689 7.2689 13.0737 73.86 73.86 60.00
With the nearest neighbours (Å) after each atom.
Fractional positions:
Ba 0.8739 0.8739 0.3783  12 Se 3.63-3.80
Ba 0.1261 0.1261 0.6217  12 Se 3.63-3.80
Ba 0.7031 0.7031 0.8907  12 Se 3.56-3.92
Ba 0.2969 0.2969 0.1093  12 Se 3.56-3.92
Sc 0.5849 0.5849 0.2454  6 Se 2.63-2.69
Sc 0.4151 0.4151 0.7546  6 Se 2.63-2.69
Ta 0.0000 0.0000 0.0000  6 Se 2.55
Ta 0.5000 0.5000 0.5000  6 Se 2.61
Se 0.8784 0.3718 0.3780  1 Ta 2.61, 1 Sc 2.69
Se 0.3718 0.8784 0.3780  1 Ta 2.61, 1 Sc 2.69
Se 0.3718 0.3718 0.3780  1 Ta 2.61, 1 Sc 2.69
Se 0.1216 0.6282 0.6220  1 Ta 2.61, 1 Sc 2.69
Se 0.6282 0.1216 0.6220  1 Ta 2.61, 1 Sc 2.69
Se 0.6282 0.6282 0.6220  1 Ta 2.61, 1 Sc 2.69
Se 0.7119 0.2045 0.8792  1 Ta 2.55, 1 Sc 2.63
Se 0.2045 0.7119 0.8792  1 Ta 2.55, 1 Sc 2.63
Se 0.2045 0.2045 0.8792  1 Ta 2.55, 1 Sc 2.63
Se 0.2881 0.7955 0.1208  1 Ta 2.55, 1 Sc 2.63
Se 0.7955 0.2881 0.1208  1 Ta 2.55, 1 Sc 2.63
Se 0.7955 0.7955 0.1208  1 Ta 2.55, 1 Sc 2.63

***

Q: Which of these has the lowest Fermi-level density of states?
A: Ba2ScTaSe6